[1]
NpP PBEsol optimized geometry; energy of formation from the pure elements = -1.312 eV/f.u.
1.0
0.000 2.749 2.749
2.749 0.000 2.749
2.749 2.749 0.000
Np P
1 1
Cartesian
0.000 0.000 0.000
2.749 2.749 2.749


[2]
NpP4S12 PBEsol optimized geometry; E_form (uncorrected) = -0.3729 eV per atom
1.0
-6.449 6.449 4.846
6.449 -6.449 4.846
6.449 6.449 -4.846
Np P S
2 8 24
Cartesian
0.000 3.225 1.212
6.449 3.225 3.635
2.365 3.143 -1.259
4.085 -3.143 3.587
6.367 0.860 1.164
-0.082 0.860 3.682
6.532 5.589 1.164
0.082 5.589 3.682
2.365 9.592 1.259
4.085 3.307 6.105
7.287 1.080 -0.743
4.305 2.387 -1.680
7.480 -4.757 3.911
8.594 4.062 -1.680
10.591 2.036 0.286
5.419 -1.692 3.911
1.189 0.917 2.138
4.917 2.194 1.488
5.612 5.369 -0.743
7.638 0.917 2.709
2.308 4.414 0.286
7.982 4.255 1.488
-1.533 2.194 3.358
4.141 2.036 4.561
-1.189 5.533 2.138
0.837 1.080 5.589
1.533 4.255 3.358
5.260 5.533 2.709
1.031 8.142 0.935
-4.141 4.414 4.561
-2.144 2.387 6.527
-1.031 11.207 0.935
2.144 4.062 6.527
-0.837 5.369 5.589


[3]
NpPd3 PBEsol optimized geometry; energy of formation from the pure elements = -1.330 eV/f.u.
1.0
5.735 0.000 0.000
-2.867 4.966 0.000
0.000 0.000 9.429
Np Pd
4 12
Cartesian
0.000 0.000 0.000
0.000 0.000 4.714
0.000 3.311 2.357
2.867 1.655 7.072
-1.434 2.483 0.000
-1.434 2.483 4.714
0.000 1.711 7.072
-1.386 4.111 7.072
1.481 0.855 2.357
2.867 0.000 0.000
2.867 0.000 4.714
1.434 2.483 0.000
1.434 2.483 4.714
1.386 4.111 7.072
4.253 0.855 2.357
2.867 3.256 2.357


[4]
NpSi2Rh2 PBEsol optimized geometry; E_form (uncorrected) = -0.7231 eV per atom
1.0
-1.982 1.982 5.028
1.982 -1.982 5.028
1.982 1.982 -5.028
Np Si Rh
1 2 2
Cartesian
0.000 0.000 0.000
0.000 0.000 3.836
0.000 0.000 6.220
1.982 0.000 2.514
0.000 1.982 2.514


Number 1: magnetization 3.52 Bohr magnetons per cell, energy -10.48 eV/atom. Number 2: magnetization 6.00 Bohr magnetons per cell, energy -5.64 eV/atom. Number 3: magnetization 13.13 Bohr magnetons per cell, energy -8.26 eV/atom. Number 4: magnetization 3.78 Bohr magnetons per cell, energy -9.05 eV/atom.